Entry from Alexandria: an optimized crystal structure of Ho3FeCo8 (PBE-GGA).

Formation enthalpy at 0 K = -138 meV per atom
Density of states at the Fermi level = 15.248 states/eV/cell
Raw total energy = -6.725 eV per atom

a = 8.593 Å, b = 8.593 Å, c = 8.593 Å
α = 33.54°, β = 33.54°, γ = 33.54°
Fractional coordinates of all 12 atoms:
1 Ho 0.000 0.000 0.000
2 Ho 0.128 0.128 0.128
3 Ho 0.617 0.617 0.617
4 Fe 0.495 0.495 0.495
5 Co 0.060 0.060 0.558
6 Co 0.060 0.558 0.060
7 Co 0.069 0.562 0.562
8 Co 0.312 0.312 0.312
9 Co 0.558 0.060 0.060
10 Co 0.562 0.069 0.562
11 Co 0.562 0.562 0.069
12 Co 0.812 0.812 0.812

Entry from Alexandria: an optimized crystal structure of PrRe2N5 (PBE-GGA).

Formation energy without anion corrections = -0.039 eV/atom
Density of states at the Fermi level = 1.560 states/eV/cell
Raw total energy = -8.952 eV per atom

a = 6.827 Å, b = 6.827 Å, c = 6.827 Å
α = 130.28°, β = 130.28°, γ = 72.96°
Fractional coordinates of all 16 atoms:
1 Pr 0.250 0.250 0.000
2 Pr 0.750 0.750 0.000
3 Re 0.154 0.654 0.807
4 Re 0.346 0.154 0.500
5 Re 0.654 0.846 0.500
6 Re 0.846 0.346 0.193
7 N 0.000 0.000 0.000
8 N 0.028 0.237 0.500
9 N 0.237 0.737 0.209
10 N 0.263 0.472 0.500
11 N 0.472 0.972 0.209
12 N 0.500 0.500 0.000
13 N 0.528 0.028 0.791
14 N 0.737 0.528 0.500
15 N 0.763 0.263 0.791
16 N 0.972 0.763 0.500

Entry from Alexandria: an optimized crystal structure of Na3SmC4O12 (PBE-GGA).

Formation energy without anion corrections = -1.702 eV/atom
Density of states at the Fermi level = 7.776 states/eV/cell
Raw total energy = -6.956 eV per atom

a = 6.530 Å, b = 6.530 Å, c = 6.530 Å
α = 100.51°, β = 100.51°, γ = 100.51°
Fractional coordinates of all 20 atoms:
1 Na 0.000 0.526 0.474
2 Na 0.474 0.000 0.526
3 Na 0.526 0.474 0.000
4 Sm 0.000 0.000 0.000
5 C 0.026 0.500 0.974
6 C 0.500 0.500 0.500
7 C 0.500 0.974 0.026
8 C 0.974 0.026 0.500
9 O 0.035 0.641 0.856
10 O 0.101 0.899 0.500
11 O 0.144 0.359 0.965
12 O 0.359 0.965 0.144
13 O 0.373 0.627 0.500
14 O 0.500 0.101 0.899
15 O 0.500 0.373 0.627
16 O 0.627 0.500 0.373
17 O 0.641 0.856 0.035
18 O 0.856 0.035 0.641
19 O 0.899 0.500 0.101
20 O 0.965 0.144 0.359

Entry from Alexandria: an optimized crystal structure of Tb4YSc7 (PBE-GGA).

Formation enthalpy at 0 K = 271 meV per atom
Density of states at the Fermi level = 22.664 states/eV/cell
Raw total energy = -5.504 eV per atom

a = 6.344 Å, b = 6.344 Å, c = 12.031 Å
α = 113.21°, β = 113.21°, γ = 51.95°
Fractional coordinates of all 12 atoms:
1 Tb 0.092 0.092 0.298
2 Tb 0.365 0.365 0.225
3 Tb 0.635 0.635 0.775
4 Tb 0.908 0.908 0.702
5 Y 0.500 0.500 0.000
6 Sc 0.000 0.000 0.000
7 Sc 0.159 0.159 0.623
8 Sc 0.206 0.206 0.917
9 Sc 0.371 0.371 0.515
10 Sc 0.629 0.629 0.485
11 Sc 0.794 0.794 0.083
12 Sc 0.841 0.841 0.377

Entry from Alexandria: an optimized crystal structure of LiLa2Nd (PBE-GGA).

Distance to the lowest polymorph of the same formula = 0.0000 eV/atom
Formation enthalpy at 0 K = 57 meV per atom
Density of states at the Fermi level = 6.029 states/eV/cell
Raw total energy = -4.077 eV per atom

a = 3.725 Å, b = 3.725 Å, c = 9.444 Å
α = 90.00°, β = 90.00°, γ = 90.00°
Fractional coordinates of all 4 atoms:
1 Li 0.000 0.000 0.000
2 La 0.500 0.500 0.229
3 La 0.500 0.500 0.771
4 Nd 0.000 0.000 0.500

Entry from Alexandria: an optimized crystal structure of PdS2O2 (PBE-GGA).

Distance to the lowest polymorph of the same formula = 0.7536 eV/atom
Formation energy without anion corrections = 0.777 eV/atom
Density of states at the Fermi level = 2.707 states/eV/cell
Raw total energy = -3.896 eV per atom

a = 5.615 Å, b = 5.615 Å, c = 5.615 Å
α = 143.92°, β = 143.92°, γ = 51.95°
Fractional coordinates of all 5 atoms:
1 Pd 0.000 0.000 0.000
2 S 0.371 0.371 0.000
3 S 0.629 0.629 0.000
4 O 0.250 0.750 0.500
5 O 0.750 0.250 0.500

Entry from Alexandria: an optimized crystal structure of GdHfAlZn (PBE-GGA).

Formation enthalpy at 0 K = -232 meV per atom
Density of states at the Fermi level = 1.445 states/eV/cell
Raw total energy = -7.495 eV per atom

a = 4.900 Å, b = 4.900 Å, c = 4.900 Å
α = 60.00°, β = 60.00°, γ = 60.00°
Fractional coordinates of all 4 atoms:
1 Gd 0.000 0.000 0.000
2 Hf 0.500 0.500 0.500
3 Al 0.250 0.250 0.250
4 Zn 0.750 0.750 0.750

Entry from Alexandria: an optimized crystal structure of Cd3AgPd3 (PBE-GGA).

Formation enthalpy at 0 K = -261 meV per atom
Density of states at the Fermi level = 5.589 states/eV/cell
Raw total energy = -3.286 eV per atom

a = 6.533 Å, b = 6.533 Å, c = 6.187 Å
α = 90.00°, β = 90.00°, γ = 90.25°
Fractional coordinates of all 14 atoms:
1 Cd 0.233 0.767 0.000
2 Cd 0.241 0.241 0.499
3 Cd 0.242 0.758 0.500
4 Cd 0.758 0.242 0.500
5 Cd 0.759 0.759 0.501
6 Cd 0.767 0.233 0.000
7 Ag 0.231 0.231 0.001
8 Ag 0.769 0.769 0.999
9 Pd 0.001 0.499 0.749
10 Pd 0.499 0.001 0.749
11 Pd 0.500 0.500 0.241
12 Pd 0.500 0.500 0.759
13 Pd 0.501 0.999 0.251
14 Pd 0.999 0.501 0.251

Entry from Alexandria: an optimized crystal structure of Li2MgBi2 (PBE-GGA).

Distance to the lowest polymorph of the same formula = 0.0200 eV/atom
Formation enthalpy at 0 K = -274 meV per atom
Density of states at the Fermi level = 4.245 states/eV/cell
Raw total energy = -2.910 eV per atom

a = 8.537 Å, b = 8.537 Å, c = 3.354 Å
α = 90.00°, β = 90.00°, γ = 90.00°
Fractional coordinates of all 10 atoms:
1 Li 0.121 0.379 0.000
2 Li 0.379 0.879 0.000
3 Li 0.621 0.121 0.000
4 Li 0.879 0.621 0.000
5 Mg 0.000 0.000 0.500
6 Mg 0.500 0.500 0.500
7 Bi 0.177 0.677 0.500
8 Bi 0.323 0.177 0.500
9 Bi 0.677 0.823 0.500
10 Bi 0.823 0.323 0.500

Entry from Alexandria: an optimized crystal structure of Pm6TlSi2Te3 (PBE-GGA).

Formation energy without anion corrections = -1.024 eV/atom
Density of states at the Fermi level = 6.232 states/eV/cell
Raw total energy = -5.285 eV per atom

a = 9.896 Å, b = 9.896 Å, c = 8.963 Å
α = 104.29°, β = 104.29°, γ = 25.36°
Fractional coordinates of all 12 atoms:
1 Pm 0.009 0.009 0.258
2 Pm 0.327 0.327 0.433
3 Pm 0.331 0.331 0.894
4 Pm 0.669 0.669 0.106
5 Pm 0.673 0.673 0.567
6 Pm 0.991 0.991 0.742
7 Tl 0.500 0.500 0.000
8 Si 0.167 0.167 0.334
9 Si 0.833 0.833 0.666
10 Te 0.164 0.164 0.832
11 Te 0.500 0.500 0.500
12 Te 0.836 0.836 0.168

Entry from Alexandria: an optimized crystal structure of AcNiAs3 (PBE-GGA).

Formation enthalpy at 0 K = -460 meV per atom
Density of states at the Fermi level = 3.167 states/eV/cell
Raw total energy = -5.227 eV per atom

a = 4.787 Å, b = 4.787 Å, c = 4.787 Å
α = 90.00°, β = 90.00°, γ = 90.00°
Fractional coordinates of all 5 atoms:
1 Ac 0.000 0.000 0.000
2 Ni 0.500 0.500 0.500
3 As 0.000 0.500 0.500
4 As 0.500 0.000 0.500
5 As 0.500 0.500 0.000

Entry from Alexandria: an optimized crystal structure of Si2BCl (PBE-GGA).

Distance to the lowest polymorph of the same formula = 0.6900 eV/atom
Formation energy without anion corrections = 1.144 eV/atom
Density of states at the Fermi level = 1.805 states/eV/cell
Raw total energy = -3.699 eV per atom

a = 4.280 Å, b = 4.280 Å, c = 4.280 Å
α = 60.00°, β = 60.00°, γ = 60.00°
Fractional coordinates of all 4 atoms:
1 Si 0.250 0.250 0.250
2 Si 0.750 0.750 0.750
3 B 0.000 0.000 0.000
4 Cl 0.500 0.500 0.500

Entry from Alexandria: an optimized crystal structure of Cs2CeNdSe4 (PBE-GGA).

Formation energy without anion corrections = -1.697 eV/atom
Density of states at the Fermi level = 5.547 states/eV/cell
Raw total energy = -4.990 eV per atom

a = 7.663 Å, b = 4.427 Å, c = 8.764 Å
α = 90.00°, β = 106.93°, γ = 90.00°
Fractional coordinates of all 8 atoms:
1 Cs 0.000 0.000 0.000
2 Cs 0.500 0.500 0.000
3 Ce 0.000 0.500 0.500
4 Nd 0.500 0.000 0.500
5 Se 0.230 0.000 0.689
6 Se 0.270 0.500 0.310
7 Se 0.730 0.500 0.690
8 Se 0.770 0.000 0.311

Entry from Alexandria: an optimized crystal structure of Ba2ScCu2 (PBE-GGA).

Formation enthalpy at 0 K = 162 meV per atom
Density of states at the Fermi level = 12.207 states/eV/cell
Raw total energy = -3.512 eV per atom

a = 7.622 Å, b = 7.622 Å, c = 5.091 Å
α = 90.00°, β = 90.00°, γ = 90.00°
Fractional coordinates of all 10 atoms:
1 Ba 0.175 0.325 0.000
2 Ba 0.325 0.825 0.000
3 Ba 0.675 0.175 0.000
4 Ba 0.825 0.675 0.000
5 Sc 0.000 0.000 0.500
6 Sc 0.500 0.500 0.500
7 Cu 0.123 0.623 0.500
8 Cu 0.377 0.123 0.500
9 Cu 0.623 0.877 0.500
10 Cu 0.877 0.377 0.500

Entry from Alexandria: an optimized crystal structure of PmZn2Ir (PBE-GGA).

Distance to the lowest polymorph of the same formula = 0.0000 eV/atom
Formation enthalpy at 0 K = -497 meV per atom
Density of states at the Fermi level = 9.570 states/eV/cell
Raw total energy = -4.537 eV per atom

a = 7.671 Å, b = 7.231 Å, c = 5.609 Å
α = 90.00°, β = 90.00°, γ = 90.00°
Fractional coordinates of all 16 atoms:
1 Pm 0.047 0.250 0.102
2 Pm 0.453 0.750 0.602
3 Pm 0.547 0.250 0.398
4 Pm 0.953 0.750 0.898
5 Zn 0.157 0.056 0.586
6 Zn 0.157 0.444 0.586
7 Zn 0.343 0.556 0.086
8 Zn 0.343 0.944 0.086
9 Zn 0.657 0.056 0.914
10 Zn 0.657 0.444 0.914
11 Zn 0.843 0.556 0.414
12 Zn 0.843 0.944 0.414
13 Ir 0.132 0.750 0.345
14 Ir 0.368 0.250 0.845
15 Ir 0.632 0.750 0.155
16 Ir 0.868 0.250 0.655

Entry from Alexandria: an optimized crystal structure of ErPaTe6 (PBE-GGA).

Formation energy without anion corrections = -0.787 eV/atom
Density of states at the Fermi level = 5.794 states/eV/cell
Raw total energy = -4.901 eV per atom

a = 4.401 Å, b = 13.234 Å, c = 13.234 Å
α = 19.13°, β = 90.00°, γ = 90.00°
Fractional coordinates of all 8 atoms:
1 Er 0.000 0.000 0.000
2 Pa 0.500 0.660 0.660
3 Te 0.000 0.124 0.124
4 Te 0.000 0.410 0.410
5 Te 0.000 0.749 0.749
6 Te 0.500 0.250 0.250
7 Te 0.500 0.538 0.538
8 Te 0.500 0.910 0.910

Entry from Alexandria: an optimized crystal structure of ZrBiN2 (PBE-GGA).

Formation energy without anion corrections = -0.328 eV/atom
Density of states at the Fermi level = 4.489 states/eV/cell
Raw total energy = -7.598 eV per atom

a = 6.283 Å, b = 6.283 Å, c = 6.283 Å
α = 128.22°, β = 128.22°, γ = 76.27°
Fractional coordinates of all 8 atoms:
1 Zr 0.000 0.000 0.000
2 Zr 0.750 0.250 0.500
3 Bi 0.250 0.750 0.500
4 Bi 0.500 0.500 0.000
5 N 0.057 0.625 0.932
6 N 0.375 0.307 0.432
7 N 0.693 0.125 0.068
8 N 0.875 0.943 0.568

Entry from Alexandria: an optimized crystal structure of La3Pm2Ge3 (PBE-GGA).

Formation enthalpy at 0 K = -708 meV per atom
Density of states at the Fermi level = 18.042 states/eV/cell
Raw total energy = -5.475 eV per atom

a = 8.940 Å, b = 8.940 Å, c = 6.783 Å
α = 90.00°, β = 90.00°, γ = 120.00°
Fractional coordinates of all 16 atoms:
1 La 0.000 0.249 0.250
2 La 0.000 0.751 0.750
3 La 0.249 0.000 0.250
4 La 0.249 0.249 0.750
5 La 0.751 0.000 0.750
6 La 0.751 0.751 0.250
7 Pm 0.333 0.667 0.000
8 Pm 0.333 0.667 0.500
9 Pm 0.667 0.333 0.000
10 Pm 0.667 0.333 0.500
11 Ge 0.000 0.395 0.750
12 Ge 0.000 0.605 0.250
13 Ge 0.395 0.000 0.750
14 Ge 0.395 0.395 0.250
15 Ge 0.605 0.000 0.250
16 Ge 0.605 0.605 0.750

Entry from Alexandria: an optimized crystal structure of AcLa2Mg2Tl2 (PBE-GGA).

Formation enthalpy at 0 K = -211 meV per atom
Density of states at the Fermi level = 5.265 states/eV/cell
Raw total energy = -3.338 eV per atom

a = 10.123 Å, b = 10.123 Å, c = 10.123 Å
α = 28.89°, β = 28.89°, γ = 28.89°
Fractional coordinates of all 7 atoms:
1 Ac 0.000 0.000 0.000
2 La 0.138 0.138 0.138
3 La 0.862 0.862 0.862
4 Mg 0.415 0.415 0.415
5 Mg 0.585 0.585 0.585
6 Tl 0.262 0.262 0.262
7 Tl 0.738 0.738 0.738

Entry from Alexandria: an optimized crystal structure of CuRhAu2 (PBE-GGA).

Distance to the lowest polymorph of the same formula = 0.0834 eV/atom
Formation enthalpy at 0 K = 146 meV per atom
Density of states at the Fermi level = 3.962 states/eV/cell
Raw total energy = -4.355 eV per atom

a = 2.779 Å, b = 2.779 Å, c = 9.449 Å
α = 90.00°, β = 90.00°, γ = 118.35°
Fractional coordinates of all 4 atoms:
1 Cu 0.000 0.000 0.000
2 Rh 0.500 0.500 0.777
3 Au 0.000 0.000 0.519
4 Au 0.500 0.500 0.240

Entry from Alexandria: an optimized crystal structure of Pa2GaI8 (PBE-GGA).

Distance to the lowest polymorph of the same formula = 0.0664 eV/atom
Formation energy without anion corrections = -0.647 eV/atom
Density of states at the Fermi level = 16.823 states/eV/cell
Raw total energy = -3.776 eV per atom

a = 10.287 Å, b = 10.287 Å, c = 6.247 Å
α = 90.00°, β = 90.00°, γ = 120.00°
Fractional coordinates of all 11 atoms:
1 Pa 0.333 0.667 0.241
2 Pa 0.667 0.333 0.759
3 Ga 0.000 0.000 0.000
4 I 0.166 0.832 0.252
5 I 0.168 0.334 0.252
6 I 0.333 0.667 0.744
7 I 0.334 0.166 0.748
8 I 0.666 0.834 0.252
9 I 0.667 0.333 0.256
10 I 0.832 0.666 0.748
11 I 0.834 0.168 0.748

Entry from Alexandria: an optimized crystal structure of ZrCdCoCu (PBE-GGA).

Formation enthalpy at 0 K = -48 meV per atom
Density of states at the Fermi level = 3.517 states/eV/cell
Raw total energy = -5.214 eV per atom

a = 4.501 Å, b = 4.501 Å, c = 4.501 Å
α = 60.00°, β = 60.00°, γ = 60.00°
Fractional coordinates of all 4 atoms:
1 Zr 0.000 0.000 0.000
2 Cd 0.500 0.500 0.500
3 Co 0.250 0.250 0.250
4 Cu 0.750 0.750 0.750

Entry from Alexandria: an optimized crystal structure of Sr2LaSc (PBE-GGA).

Distance to the lowest polymorph of the same formula = 0.1808 eV/atom
Formation enthalpy at 0 K = 312 meV per atom
Density of states at the Fermi level = 7.394 states/eV/cell
Raw total energy = -3.344 eV per atom

a = 7.335 Å, b = 7.335 Å, c = 3.685 Å
α = 101.56°, β = 101.56°, γ = 119.58°
Fractional coordinates of all 4 atoms:
1 Sr 0.000 0.500 0.000
2 Sr 0.500 0.000 0.000
3 La 0.000 0.000 0.500
4 Sc 0.500 0.500 0.500

| no. | calculated volume (A^3/atom) |
| --- | --- |
| 1 | 14.4 |
| 2 | 11.3 |
| 3 | 13.1 |
| 4 | 28.6 |
| 5 | 32.8 |
| 6 | 12.2 |
| 7 | 20.8 |
| 8 | 18.9 |
| 9 | 24.4 |
| 10 | 30.3 |
| 11 | 21.9 |
| 12 | 13.9 |
| 13 | 35.6 |
| 14 | 29.6 |
| 15 | 19.4 |
| 16 | 31.6 |
| 17 | 18.6 |
| 18 | 29.3 |
| 19 | 30.6 |
| 20 | 16.1 |
| 21 | 52.0 |
| 22 | 16.1 |
| 23 | 39.5 |